Entry 1:
## CrAuNF2 (PBE with a Hubbard U)

Data for crystalline CrAuNF2 at its relaxed geometry.

The space group is P4/mmm (No. 123) and the conventional cell measures 4.6451, 4.6451 and 3.7836 Å, with angles of 90.00, 90.00 and 90.00 degrees. The distinct sites, in fractional coordinates, are Cr at (0.0000, 0.0000, 0.0000), Au at (0.5000, 0.5000, 0.5000), N at (0.5000, 0.5000, 0.0000) and F at (0.0000, 0.5000, 0.5000).

As for the calculated density: 6.122 g/cm³. The value obtained for the total energy is -4.48 eV/atom. The crystal system is tetragonal. For the energy above the most stable polymorph in this dataset, the calculation gives 687 meV/atom.

=====

Entry 2:
## CrAuN2F (PBE with a Hubbard U)

Data for crystalline CrAuN2F at its relaxed geometry.

The space group is P4/mmm (No. 123) and the conventional cell measures 3.9363, 3.9363 and 3.8792 Å, with angles of 90.00, 90.00 and 90.00 degrees. The distinct sites, in fractional coordinates, are Cr at (0.0000, 0.0000, 0.0000), Au at (0.5000, 0.5000, 0.5000), N at (0.0000, 0.5000, 0.0000) and F at (0.0000, 0.0000, 0.5000).

As for the calculated density: 8.177 g/cm³. The value obtained for the total energy is -5.39 eV/atom. The crystal system is tetragonal. For the energy above the most stable polymorph in this dataset, the calculation gives 0 meV/atom.

=====

Entry 3:
## CrAuNF2 (PBE with a Hubbard U)

Data for crystalline CrAuNF2 at its relaxed geometry.

The space group is P4/mmm (No. 123) and the conventional cell measures 3.8244, 3.8244 and 4.2944 Å, with angles of 90.00, 90.00 and 90.00 degrees. The distinct sites, in fractional coordinates, are Cr at (0.0000, 0.0000, 0.0000), Au at (0.5000, 0.5000, 0.5000), N at (0.0000, 0.0000, 0.5000) and F at (0.0000, 0.5000, 0.0000).

As for the calculated density: 7.957 g/cm³. The value obtained for the total energy is -5.17 eV/atom. The crystal system is tetragonal. For the energy above the most stable polymorph in this dataset, the calculation gives 0 meV/atom.

=====

Entry 4:
## NaCr2AuF (PBE with a Hubbard U)

Data for crystalline NaCr2AuF at its relaxed geometry.

The space group is P4/mmm (No. 123) and the conventional cell measures 5.2061, 5.2061 and 5.6597 Å, with angles of 90.00, 90.00 and 90.00 degrees. The distinct sites, in fractional coordinates, are Na at (0.0000, 0.0000, 0.0000), Cr at (0.0000, 0.5000, 0.5000), Au at (0.0000, 0.0000, 0.5000) and F at (0.5000, 0.5000, 0.0000).

As for the calculated density: 3.712 g/cm³. The value obtained for the total energy is -4.17 eV/atom. The crystal system is tetragonal.

=====

Entry 5:
## CrNiAu2F (PBE with a Hubbard U)

Data for crystalline CrNiAu2F at its relaxed geometry.

The space group is P4/mmm (No. 123) and the conventional cell measures 4.7176, 4.7176 and 4.8048 Å, with angles of 90.00, 90.00 and 90.00 degrees. The distinct sites, in fractional coordinates, are Cr at (0.0000, 0.0000, 0.0000), Ni at (0.0000, 0.0000, 0.5000), Au at (0.0000, 0.5000, 0.5000) and F at (0.5000, 0.5000, 0.0000).

As for the calculated density: 8.131 g/cm³. The value obtained for the total energy is -3.05 eV/atom. The crystal system is tetragonal.

=====

Entry 6:
## CrAuOF2 (PBE with a Hubbard U)

Data for crystalline CrAuOF2 at its relaxed geometry.

The space group is P4/mmm (No. 123) and the conventional cell measures 3.9616, 3.9616 and 4.0000 Å, with angles of 90.00, 90.00 and 90.00 degrees. The distinct sites, in fractional coordinates, are Cr at (0.0000, 0.0000, 0.0000), Au at (0.5000, 0.5000, 0.5000), O at (0.0000, 0.0000, 0.5000) and F at (0.0000, 0.5000, 0.0000).

As for the calculated density: 8.014 g/cm³. The value obtained for the total energy is -5.20 eV/atom. The crystal system is tetragonal. For the energy above the most stable polymorph in this dataset, the calculation gives 0 meV/atom.

=====

Entry 7:
## CrAuOF2 (PBE with a Hubbard U)

Data for crystalline CrAuOF2 at its relaxed geometry.

The space group is P4/mmm (No. 123) and the conventional cell measures 4.4295, 4.4295 and 4.0596 Å, with angles of 90.00, 90.00 and 90.00 degrees. The distinct sites, in fractional coordinates, are Cr at (0.0000, 0.0000, 0.0000), Au at (0.5000, 0.5000, 0.5000), O at (0.5000, 0.5000, 0.0000) and F at (0.0000, 0.5000, 0.5000).

As for the calculated density: 6.316 g/cm³. The value obtained for the total energy is -4.37 eV/atom. The crystal system is tetragonal. For the energy above the most stable polymorph in this dataset, the calculation gives 828 meV/atom.

=====

Entry 8:
## CrP2AuF (PBE with a Hubbard U)

Data for crystalline CrP2AuF at its relaxed geometry.

The space group is P4/mmm (No. 123) and the conventional cell measures 4.6375, 4.6375 and 5.5848 Å, with angles of 90.00, 90.00 and 90.00 degrees. The distinct sites, in fractional coordinates, are Cr at (0.0000, 0.0000, 0.0000), P at (0.0000, 0.5000, 0.5000), Au at (0.0000, 0.0000, 0.5000) and F at (0.5000, 0.5000, 0.0000).

As for the calculated density: 4.561 g/cm³. The value obtained for the total energy is -4.10 eV/atom. The crystal system is tetragonal.

=====

What did the second record say?
## CrAuN2F (PBE with a Hubbard U)

Data for crystalline CrAuN2F at its relaxed geometry.

The space group is P4/mmm (No. 123) and the conventional cell measures 3.9363, 3.9363 and 3.8792 Å, with angles of 90.00, 90.00 and 90.00 degrees. The distinct sites, in fractional coordinates, are Cr at (0.0000, 0.0000, 0.0000), Au at (0.5000, 0.5000, 0.5000), N at (0.0000, 0.5000, 0.0000) and F at (0.0000, 0.0000, 0.5000).

As for the calculated density: 8.177 g/cm³. The value obtained for the total energy is -5.39 eV/atom. The crystal system is tetragonal. For the energy above the most stable polymorph in this dataset, the calculation gives 0 meV/atom.